[1]
An optimized crystal structure of SrRuAu2, computed with PBE-GGA.

Calculated values
Formation enthalpy at 0 K: 184 meV per atom
Total energy: -4.194 eV/atom

a b c (Å): 3.6229 3.6229 6.6342
angles (deg): 90.00 90.00 90.00
Space group P4mm (No. 99)
Unique sites:
Sr  0.0000  0.0000  0.0000 x1
Ru  0.5000  0.5000  0.6814 x1
Au  0.0000  0.0000  0.5381 x1
Au  0.5000  0.5000  0.2739 x1

=====

[2]
An optimized crystal structure of SrRuAu2, computed with PBE-GGA.

Calculated values
Formation enthalpy at 0 K: 266 meV per atom
Total energy: -4.112 eV/atom

a b c (Å): 5.0624 5.0624 17.4045
angles (deg): 90.00 90.00 90.00
Space group I-42d (No. 122)
Unique sites:
Sr  0.0000  0.0000  0.0000 x4
Ru  0.0000  0.0000  0.5000 x4
Au  0.1192  0.2500  0.6250 x8

=====

[3]
An optimized crystal structure of SrRuAu2, computed with PBE-GGA.

Calculated values
Formation enthalpy at 0 K: 97 meV per atom
Total energy: -4.281 eV/atom

a b c (Å): 3.4938 3.4938 6.9542
angles (deg): 90.00 90.00 90.00
Space group P4/mmm (No. 123)
Unique sites:
Sr  0.0000  0.0000  0.0000 x1
Ru  0.0000  0.0000  0.5000 x1
Au  0.5000  0.5000  0.3002 x2

=====

[4]
An optimized crystal structure of SrRuAu2, computed with PBE-GGA.

Calculated values
Formation enthalpy at 0 K: -50 meV per atom
Total energy: -4.428 eV/atom

a b c (Å): 4.6014 4.6014 15.9116
angles (deg): 90.00 90.00 120.00
Space group R3m (No. 160, hexagonal axes)
Unique sites:
Sr  0.0000  0.0000  0.0000 x3
Ru  0.0000  0.0000  0.8126 x3
Au  0.0000  0.0000  0.1960 x3
Au  0.0000  0.0000  0.4724 x3

=====

[5]
An optimized crystal structure of Ta3RuAu, computed with PBE-GGA.

Calculated values
Formation enthalpy at 0 K: 2043 meV per atom
Total energy: -7.580 eV/atom

a b c (Å): 4.8625 4.8625 4.8625
angles (deg): 90.00 90.00 90.00
Space group Pm-3m (No. 221)
Unique sites:
Ta  0.0000  0.0000  0.5000 x3
Ru  0.5000  0.5000  0.5000 x1
Au  0.0000  0.0000  0.0000 x1

=====

[6]
An optimized crystal structure of TaRu3Au, computed with PBE-GGA.

Calculated values
Formation enthalpy at 0 K: 1500 meV per atom
Total energy: -7.091 eV/atom

a b c (Å): 4.7076 4.7076 4.7076
angles (deg): 90.00 90.00 90.00
Space group Pm-3m (No. 221)
Unique sites:
Ta  0.0000  0.0000  0.0000 x1
Ru  0.0000  0.0000  0.5000 x3
Au  0.5000  0.5000  0.5000 x1

=====

Which formula does entry 6 have?
TaRu3Au

=====

Which of these has the lowest formation enthalpy at 0 K?
number 4

=====

The highest formation enthalpy at 0 K belongs to which entry?
Ta3RuAu

=====

total energy of number 1 (SrRuAu2)?
-4.194 eV/atom